Pm2DySn | GGA-PBE | optimized geometry

- magnetic moment (μB/f.u.) = 0.0
- density of states at the Fermi level (states/eV per cell) = 4.1
- E above lowest polymorph (meV per atom) = 0
- uncorrected energy (Ry per atom) = -0.365
- formation energy from the elements (eV per atom) = -0.44

Cell: 4.8604 4.8604 4.9268 Å, 90.00 90.00 90.00°
Closest atoms and distances in Å follow each position.
Element x y z (fractional)
Pm (0.0000, 0.5000, 0.0000)  4 Pm 3.44, 4 Sn 3.46, 4 Dy 3.46
Pm (0.5000, 0.0000, 0.0000)  4 Pm 3.44, 4 Sn 3.46, 4 Dy 3.46
Dy (0.0000, 0.0000, 0.5000)  4 Sn 3.44, 8 Pm 3.46
Sn (0.5000, 0.5000, 0.5000)  4 Dy 3.44, 8 Pm 3.46